No. 1
LaDy2HoS4: relaxed, PBE.

a = 6.874 Å, b = 3.925 Å, c = 6.912 Å
α = 90.00°, β = 109.00°, γ = 90.00°
Fractional coordinates of all 8 atoms:
La: 0.000 0.000 0.000
Dy: 0.500 0.000 0.500
Dy: 0.500 0.500 0.000
Ho: 0.000 0.500 0.500
S: 0.255 0.000 0.742
S: 0.263 0.500 0.264
S: 0.737 0.500 0.736
S: 0.745 0.000 0.258

Results
The uncorrected formation energy is -16.1 eV/f.u.

No. 2
PrHoSe2Br: relaxed, PBE.

a = 4.287 Å, b = 4.287 Å, c = 14.172 Å
α = 90.00°, β = 90.00°, γ = 90.00°
Fractional coordinates of all 10 atoms:
Pr: 0.250 0.250 0.157
Pr: 0.750 0.750 0.843
Ho: 0.250 0.250 0.590
Ho: 0.750 0.750 0.410
Se: 0.250 0.250 0.387
Se: 0.250 0.250 0.790
Se: 0.750 0.750 0.210
Se: 0.750 0.750 0.613
Br: 0.250 0.750 0.000
Br: 0.750 0.250 0.000

Results
The uncorrected formation energy is -8.3 eV/f.u.

No. 3
BaAcRu: relaxed, PBE.

a = 7.342 Å, b = 7.342 Å, c = 9.415 Å
α = 129.35°, β = 129.35°, γ = 34.30°
Fractional coordinates of all 6 atoms:
Ba: 0.071 0.071 0.287
Ba: 0.929 0.929 0.713
Ac: 0.294 0.294 0.201
Ac: 0.706 0.706 0.799
Ru: 0.394 0.394 0.967
Ru: 0.606 0.606 0.033

Results
The formation enthalpy at 0 K comes out at 21 kJ/mol of formula units.

No. 4
Al4Ag: relaxed, PBE.

a = 4.862 Å, b = 4.862 Å, c = 4.862 Å
α = 90.00°, β = 90.00°, γ = 90.00°
Fractional coordinates of all 5 atoms:
Al: 0.000 0.000 0.000
Al: 0.000 0.500 0.500
Al: 0.500 0.000 0.500
Al: 0.500 0.500 0.000
Ag: 0.500 0.500 0.500

Results
The formation enthalpy at 0 K comes out at 283 kJ/mol of formula units.

| no. | E_tot (eV per atom) |
| --- | --- |
| 1 | -6.42 |
| 2 | -5.26 |
| 3 | -5.03 |
| 4 | -2.98 |